1.
VASP calculation (PBE-GGA) on a relaxed structure of Tb5CePmHo2.

Structure (POSCAR):
```
Tb5CePmHo2
1.0
5.711 0.000 0.000
-2.856 10.752 0.000
0.000 0.000 9.602
Tb Ho Pm Ce
10 4 2 2
direct
0.733 0.466 0.832
0.529 0.058 0.246
0.606 0.212 0.541
0.987 0.974 0.514
0.471 0.942 0.746
0.267 0.534 0.332
0.306 0.611 0.714
0.013 0.026 0.014
0.394 0.788 0.041
0.694 0.389 0.214
0.865 0.730 0.206
0.887 0.773 0.823
0.135 0.270 0.706
0.113 0.227 0.323
0.403 0.806 0.424
0.597 0.194 0.924
0.193 0.386 0.023
0.807 0.614 0.523
```

2.
VASP calculation (PBE-GGA) on a relaxed structure of Tb6CePm3Ho2.

Structure (POSCAR):
```
Tb6CePm3Ho2
1.0
6.197 0.000 0.018
-3.097 5.367 0.018
-1.066 -1.845 11.656
Tb Ce Pm Ho
6 1 3 2
direct
0.751 0.751 0.247
0.917 0.586 0.753
0.586 0.917 0.753
0.083 0.414 0.247
0.414 0.083 0.247
0.249 0.249 0.753
0.000 0.000 0.000
0.167 0.833 0.500
0.833 0.167 0.500
0.500 0.500 0.500
0.667 0.333 0.000
0.333 0.667 0.000
```

3.
VASP calculation (PBE-GGA) on a relaxed structure of TbCePm2Ho.

Structure (POSCAR):
```
TbCePm2Ho
1.0
-4.869 3.242 5.647
3.959 -2.442 4.814
3.329 5.144 -0.083
Ce Pm Tb Ho
2 4 2 2
direct
0.000 0.000 0.500
0.000 0.000 0.000
0.689 0.264 0.748
0.311 0.264 0.248
0.311 0.736 0.252
0.689 0.736 0.752
0.646 0.000 0.250
0.354 0.000 0.750
0.872 0.500 0.250
0.128 0.500 0.750
```

4.
VASP calculation (PBE-GGA) on a relaxed structure of Tb5CePm2Ho.

Structure (POSCAR):
```
Tb5CePm2Ho
1.0
8.561 0.000 0.000
0.000 8.561 0.000
-4.280 -4.280 7.891
Pm Tb Ce Ho
4 10 2 2
direct
0.622 0.122 0.000
0.378 0.878 0.000
0.122 0.378 0.000
0.878 0.622 0.000
0.343 0.843 0.284
0.157 0.060 0.716
0.440 0.343 0.284
0.500 0.500 0.000
0.060 0.560 0.716
0.843 0.940 0.284
0.657 0.157 0.716
0.560 0.657 0.716
0.000 0.000 0.000
0.940 0.440 0.284
0.750 0.250 0.500
0.250 0.750 0.500
0.750 0.750 0.500
0.250 0.250 0.500
```

Number 1: formation energy from the elements 0.1725 eV/atom. Number 2: formation energy from the elements 0.0341 eV/atom. Number 3: formation energy from the elements 0.2834 eV/atom. Number 4: formation energy from the elements 0.2696 eV/atom.